The following is a GGA+U calculation of a relaxed structure of BeFeTcF2, from Alexandria.

Lattice parameters (Å, degrees): 3.7097 3.7097 6.5784 90.00 90.00 90.00
With the nearest neighbours (Å) after each atom.
Space group P4/mmm (No. 123)
Unique sites:
Be: 0.0000 0.0000 0.0000 (multiplicity 1)  4 Tc 2.62
Fe: 0.5000 0.5000 0.5000 (multiplicity 1)  4 F 1.85
Tc: 0.5000 0.5000 0.0000 (multiplicity 1)  4 Be 2.62
F: 0.0000 0.5000 0.5000 (multiplicity 2)  2 Fe 1.85

spin magnetization	1.17	μB/cell
V	90.5	Å³ per cell
DOS at the Fermi energy	3.02	states/eV/f.u.
final energy	-24.94	eV/cell